## NaNCl3 (PBE-GGA)

Data for a relaxed NaNCl3 crystal.

Values from the calculation:
calculated total energy	-2.243	eV/atom
total magnetization	1.000	Bohr magnetons per cell

CIF file:
```
data_NaNCl3
_chemical_formula_sum 'Na1 N1 Cl3'
_cell_length_a 5.3868
_cell_length_b 5.3868
_cell_length_c 5.3868
_cell_angle_alpha 90.00
_cell_angle_beta 90.00
_cell_angle_gamma 90.00
_space_group_name_H-M_alt 'P m -3 m'
_space_group_IT_number 221
_space_group_name_Hall '-P 4 2 3'
loop_
_atom_site_label
_atom_site_fract_x
_atom_site_fract_y
_atom_site_fract_z
Na1 0.0000 0.0000 0.0000
N1 0.5000 0.5000 0.5000
Cl1 0.0000 0.0000 0.5000
```

## Na7N12Cl (PBE-GGA)

Data for a relaxed Na7N12Cl crystal.

Values from the calculation:
calculated total energy	-5.729	eV/atom
total magnetization	7.416	Bohr magnetons per cell

CIF file:
```
data_Na7N12Cl
_chemical_formula_sum 'Na21 N36 Cl3'
_cell_length_a 10.7328
_cell_length_b 10.7328
_cell_length_c 9.8306
_cell_angle_alpha 90.00
_cell_angle_beta 90.00
_cell_angle_gamma 120.00
_space_group_name_H-M_alt 'R -3'
_space_group_IT_number 148
_space_group_name_Hall '-R 3'
loop_
_atom_site_label
_atom_site_fract_x
_atom_site_fract_y
_atom_site_fract_z
Na1 0.0000 0.0000 0.0000
Na2 0.0730 0.5686 0.3151
N1 0.0013 0.8114 0.1356
N2 0.0092 0.7157 0.1873
Cl1 0.0000 0.0000 0.5000
```

## Na3N2Cl2 (PBE-GGA)

Data for a relaxed Na3N2Cl2 crystal.

Values from the calculation:
calculated total energy	-4.493	eV/atom
total magnetization	1.002	Bohr magnetons per cell

CIF file:
```
data_Na3N2Cl2
_chemical_formula_sum 'Na3 N2 Cl2'
_cell_length_a 4.0288
_cell_length_b 4.0378
_cell_length_c 8.8556
_cell_angle_alpha 79.22
_cell_angle_beta 79.50
_cell_angle_gamma 87.35
_space_group_name_H-M_alt 'P -1'
_space_group_IT_number 2
loop_
_space_group_symop_operation_xyz
'x,y,z'
'-x,-y,-z'
loop_
_atom_site_label
_atom_site_fract_x
_atom_site_fract_y
_atom_site_fract_z
Na1 0.0000 0.0000 0.0000
Na2 0.3086 0.3127 0.3360
N1 0.3968 0.3986 0.0335
Cl1 0.1873 0.1835 0.6674
```

## NaNCl (PBE-GGA)

Data for a relaxed NaNCl crystal.

Values from the calculation:
calculated total energy	-3.268	eV/atom
total magnetization	5.945	Bohr magnetons per cell

CIF file:
```
data_NaNCl
_chemical_formula_sum 'Na2 N2 Cl2'
_cell_length_a 3.9308
_cell_length_b 3.9484
_cell_length_c 11.5800
_cell_angle_alpha 80.84
_cell_angle_beta 88.98
_cell_angle_gamma 89.95
_space_group_name_H-M_alt 'P -1'
_space_group_IT_number 2
loop_
_space_group_symop_operation_xyz
'x,y,z'
'-x,-y,-z'
loop_
_atom_site_label
_atom_site_fract_x
_atom_site_fract_y
_atom_site_fract_z
Na1 0.2442 0.1964 0.1183
N1 0.2664 0.3254 0.3598
Cl1 0.2556 0.3074 0.8707
```

## Na4N2Cl3 (PBE-GGA)

Data for a relaxed Na4N2Cl3 crystal.

Values from the calculation:
calculated total energy	-4.186	eV/atom
total magnetization	4.037	Bohr magnetons per cell

CIF file:
```
data_Na4N2Cl3
_chemical_formula_sum 'Na16 N8 Cl12'
_cell_length_a 13.3731
_cell_length_b 7.8692
_cell_length_c 7.6597
_cell_angle_alpha 90.00
_cell_angle_beta 94.57
_cell_angle_gamma 90.00
_space_group_name_H-M_alt 'C 1 2/c 1'
_space_group_IT_number 15
loop_
_space_group_symop_operation_xyz
'x,y,z'
'-x,-y,-z'
'-x,y,-z+1/2'
'x,-y,z+1/2'
'x+1/2,y+1/2,z'
'-x+1/2,-y+1/2,-z'
'-x+1/2,y+1/2,-z+1/2'
'x+1/2,-y+1/2,z+1/2'
loop_
_atom_site_label
_atom_site_fract_x
_atom_site_fract_y
_atom_site_fract_z
Na1 0.0428 0.2486 0.0361
Na2 0.2266 0.4307 0.3179
N1 0.2222 0.3092 0.9958
Cl1 0.0000 0.4606 0.7500
Cl2 0.1334 0.1175 0.3805
```

## NaNCl2 (PBE-GGA)

Data for a relaxed NaNCl2 crystal.

Values from the calculation:
calculated total energy	-2.689	eV/atom
total magnetization	8.000	Bohr magnetons per cell

CIF file:
```
data_NaNCl2
_chemical_formula_sum 'Na4 N4 Cl8'
_cell_length_a 6.8746
_cell_length_b 6.8746
_cell_length_c 6.8746
_cell_angle_alpha 90.00
_cell_angle_beta 90.00
_cell_angle_gamma 90.00
_space_group_name_H-M_alt 'F m -3 m'
_space_group_IT_number 225
_space_group_name_Hall '-F 4 2 3'
loop_
_atom_site_label
_atom_site_fract_x
_atom_site_fract_y
_atom_site_fract_z
Na1 0.0000 0.0000 0.0000
N1 0.0000 0.0000 0.5000
Cl1 0.2500 0.2500 0.2500
```

## NaOs2NCl (PBE-GGA)

Data for a relaxed NaOs2NCl crystal.

Values from the calculation:
calculated total energy	-4.399	eV/atom
total magnetization	0.016	Bohr magnetons per cell

CIF file:
```
data_NaOs2NCl
_chemical_formula_sum 'Na1 Os2 N1 Cl1'
_cell_length_a 4.3016
_cell_length_b 4.3016
_cell_length_c 4.8690
_cell_angle_alpha 90.00
_cell_angle_beta 90.00
_cell_angle_gamma 90.00
_space_group_name_H-M_alt 'P 4/m m m'
_space_group_IT_number 123
_space_group_name_Hall '-P 4 2'
loop_
_atom_site_label
_atom_site_fract_x
_atom_site_fract_y
_atom_site_fract_z
Na1 0.0000 0.0000 0.0000
Os1 0.0000 0.5000 0.5000
N1 0.5000 0.5000 0.0000
Cl1 0.0000 0.0000 0.5000
```

## NaP2NCl (PBE-GGA)

Data for a relaxed NaP2NCl crystal.

Values from the calculation:
calculated total energy	-4.217	eV/atom
total magnetization	0.640	Bohr magnetons per cell

CIF file:
```
data_NaP2NCl
_chemical_formula_sum 'Na1 P2 N1 Cl1'
_cell_length_a 3.8069
_cell_length_b 3.8069
_cell_length_c 7.8594
_cell_angle_alpha 90.00
_cell_angle_beta 90.00
_cell_angle_gamma 90.00
_space_group_name_H-M_alt 'P 4/m m m'
_space_group_IT_number 123
_space_group_name_Hall '-P 4 2'
loop_
_atom_site_label
_atom_site_fract_x
_atom_site_fract_y
_atom_site_fract_z
Na1 0.0000 0.0000 0.0000
P1 0.0000 0.5000 0.5000
N1 0.5000 0.5000 0.5000
Cl1 0.5000 0.5000 0.0000
```

## NaPNCl2 (PBE-GGA)

Data for a relaxed NaPNCl2 crystal.

Values from the calculation:
calculated total energy	-3.650	eV/atom
total magnetization	0.001	Bohr magnetons per cell

CIF file:
```
data_NaPNCl2
_chemical_formula_sum 'Na1 P1 N1 Cl2'
_cell_length_a 5.6532
_cell_length_b 5.6532
_cell_length_c 3.3917
_cell_angle_alpha 90.00
_cell_angle_beta 90.00
_cell_angle_gamma 90.00
_space_group_name_H-M_alt 'P 4/m m m'
_space_group_IT_number 123
_space_group_name_Hall '-P 4 2'
loop_
_atom_site_label
_atom_site_fract_x
_atom_site_fract_y
_atom_site_fract_z
Na1 0.0000 0.0000 0.0000
P1 0.5000 0.5000 0.0000
N1 0.5000 0.5000 0.5000
Cl1 0.0000 0.5000 0.5000
```

## NaPNCl2 (PBE-GGA)

Data for a relaxed NaPNCl2 crystal.

Values from the calculation:
calculated total energy	-2.468	eV/atom
total magnetization	6.231	Bohr magnetons per cell

CIF file:
```
data_NaPNCl2
_chemical_formula_sum 'Na1 P1 N1 Cl2'
_cell_length_a 5.3156
_cell_length_b 5.3156
_cell_length_c 6.1325
_cell_angle_alpha 90.00
_cell_angle_beta 90.00
_cell_angle_gamma 90.00
_space_group_name_H-M_alt 'P 4/m m m'
_space_group_IT_number 123
_space_group_name_Hall '-P 4 2'
loop_
_atom_site_label
_atom_site_fract_x
_atom_site_fract_y
_atom_site_fract_z
Na1 0.0000 0.0000 0.0000
P1 0.0000 0.0000 0.5000
N1 0.5000 0.5000 0.5000
Cl1 0.0000 0.5000 0.0000
```

## NaP2NCl (PBE-GGA)

Data for a relaxed NaP2NCl crystal.

Values from the calculation:
calculated total energy	-2.508	eV/atom
total magnetization	0.977	Bohr magnetons per cell

CIF file:
```
data_NaP2NCl
_chemical_formula_sum 'Na1 P2 N1 Cl1'
_cell_length_a 5.1862
_cell_length_b 5.1862
_cell_length_c 5.1030
_cell_angle_alpha 90.00
_cell_angle_beta 90.00
_cell_angle_gamma 90.00
_space_group_name_H-M_alt 'P 4/m m m'
_space_group_IT_number 123
_space_group_name_Hall '-P 4 2'
loop_
_atom_site_label
_atom_site_fract_x
_atom_site_fract_y
_atom_site_fract_z
Na1 0.0000 0.0000 0.0000
P1 0.0000 0.5000 0.0000
N1 0.5000 0.5000 0.5000
Cl1 0.0000 0.0000 0.5000
```

## NaZr2SN2Cl (PBE-GGA)

Data for a relaxed NaZr2SN2Cl crystal.

Values from the calculation:
calculated total energy	-7.466	eV/atom
total magnetization	0.000	Bohr magnetons per cell

CIF file:
```
data_NaZr2SN2Cl
_chemical_formula_sum 'Na3 Zr6 S3 N6 Cl3'
_cell_length_a 3.6882
_cell_length_b 3.6882
_cell_length_c 30.3706
_cell_angle_alpha 90.00
_cell_angle_beta 90.00
_cell_angle_gamma 120.00
_space_group_name_H-M_alt 'R 3 m'
_space_group_IT_number 160
_space_group_name_Hall 'R 3 -2"'
loop_
_atom_site_label
_atom_site_fract_x
_atom_site_fract_y
_atom_site_fract_z
Na1 0.0000 0.0000 0.0000
Zr1 0.0000 0.0000 0.1997
Zr2 0.0000 0.0000 0.7802
S1 0.0000 0.0000 0.3905
N1 0.0000 0.0000 0.1317
N2 0.0000 0.0000 0.8570
Cl1 0.0000 0.0000 0.6025
```